VASP calculation (PBE) on a geometry-optimized Ba2CaMgBe structure.

Lattice parameters (Å, degrees): 6.6736 6.6736 4.7897 90.00 90.00 90.00
Element x y z (fractional)
Ba  0.0000  0.5000  0.0000
Ba  0.5000  0.0000  0.0000
Ca  0.0000  0.0000  0.5000
Mg  0.5000  0.5000  0.0000
Be  0.5000  0.5000  0.5000

- SG = No. 123
- DOS at the Fermi energy (states/eV per cell) = 1.48
- crystal system = tetragonal
- total moment (μB per cell) = 0.00

***

VASP calculation (PBE) on a geometry-optimized BeCu2Mo structure.

Lattice parameters (Å, degrees): 4.9770 8.9638 2.4662 90.00 113.81 90.00
Element x y z (fractional)
Be  0.0000  0.0000  0.0000
Be  0.5000  0.5000  0.0000
Cu  0.2500  0.2500  0.5000
Cu  0.2500  0.7500  0.5000
Cu  0.7500  0.2500  0.5000
Cu  0.7500  0.7500  0.5000
Mo  0.0000  0.5000  0.0000
Mo  0.5000  0.0000  0.0000

- SG = No. 12
- DOS at the Fermi energy (states/eV per cell) = 5.07
- crystal system = monoclinic
- total moment (μB per cell) = 0.00

***

VASP calculation (PBE) on a geometry-optimized CsCuRhSe3 structure.

Lattice parameters (Å, degrees): 8.9013 3.9198 10.0328 90.00 116.28 90.00
Element x y z (fractional)
Cs  0.2406  0.2500  0.2617
Cs  0.7594  0.7500  0.7383
Cu  0.0749  0.2500  0.5950
Cu  0.9251  0.7500  0.4050
Rh  0.3203  0.7500  0.8513
Rh  0.6797  0.2500  0.1487
Se  0.1380  0.2500  0.8547
Se  0.2263  0.7500  0.5678
Se  0.4881  0.7500  0.1273
Se  0.5119  0.2500  0.8727
Se  0.7737  0.2500  0.4322
Se  0.8620  0.7500  0.1453

- SG = No. 11
- DOS at the Fermi energy (states/eV per cell) = 5.14
- crystal system = monoclinic
- total moment (μB per cell) = 0.00

***

VASP calculation (PBE) on a geometry-optimized FeAg2Mo structure.

Lattice parameters (Å, degrees): 3.7805 3.7805 8.7812 90.00 90.00 90.00
Element x y z (fractional)
Fe  0.0000  0.0000  0.0000
Fe  0.5000  0.5000  0.5000
Ag  0.0000  0.5000  0.2500
Ag  0.0000  0.5000  0.7500
Ag  0.5000  0.0000  0.2500
Ag  0.5000  0.0000  0.7500
Mo  0.0000  0.0000  0.5000
Mo  0.5000  0.5000  0.0000

- SG = No. 139
- DOS at the Fermi energy (states/eV per cell) = 5.95
- energy above the most stable polymorph in this dataset (meV per atom) = 325
- crystal system = tetragonal
- total moment (μB per cell) = 1.70

***

no.,electronic total energy (eV per atom)
1,-1.7546
2,-5.4367
3,-4.3586
4,-5.6213